# KFeO2F (PBE with a Hubbard U, optimized geometry)
# crystal system = tetragonal
# total energy = -26.6 eV per cell
data_KFeO2F
_chemical_formula_sum 'K1 Fe1 O2 F1'
_symmetry_space_group_name_H-M 'P 4/m m m'
_symmetry_Int_Tables_number 123
_symmetry_space_group_name_Hall '-P 4 2'
_cell_length_a 3.8154
_cell_length_b 3.8154
_cell_length_c 4.3881
_cell_angle_alpha 90.00
_cell_angle_beta 90.00
_cell_angle_gamma 90.00
loop_
_atom_site_label
_atom_site_type_symbol
_atom_site_fract_x
_atom_site_fract_y
_atom_site_fract_z
K1 K 0.0000 0.0000 0.0000
Fe1 Fe 0.5000 0.5000 0.5000
O1 O 0.0000 0.5000 0.5000
F1 F 0.5000 0.5000 0.0000